[1]
Density functional theory data (PBE) for Nd4ThSb5 after structural relaxation.

Summary:
total magnetic moment	0.00	μB per formula unit
calculated volume	326.9	Å³ per cell
VASP energy	-58.6	eV for the cell shown
N(E_F)	3.55	states/eV per cell
crystal system	orthorhombic
uncorrected formation energy	-11.47	eV per formula unit

a b c (Å): 11.964 11.964 11.964
angles (deg): 158.20 149.02 38.20
Fractional positions:
Nd 0.101 0.101 0.000
Nd 0.299 0.299 0.000
Nd 0.701 0.701 0.000
Nd 0.899 0.899 0.000
Th 0.500 0.500 0.000
Sb 0.000 0.500 0.500
Sb 0.200 0.700 0.500
Sb 0.401 0.901 0.500
Sb 0.599 0.099 0.500
Sb 0.800 0.300 0.500



[2]
Density functional theory data (PBE) for PaTaCd after structural relaxation.

Summary:
total magnetic moment	0.00	μB per formula unit
calculated volume	148.7	Å³ per cell
VASP energy	-39.9	eV for the cell shown
N(E_F)	6.30	states/eV per cell
crystal system	trigonal
ΔH_f (0 K)	0.767	eV/atom

a b c (Å): 8.614 8.614 8.614
angles (deg): 30.81 30.81 30.81
Fractional positions:
Pa 0.122 0.122 0.122
Pa 0.878 0.878 0.878
Ta 0.244 0.244 0.244
Ta 0.756 0.756 0.756
Cd 0.367 0.367 0.367
Cd 0.633 0.633 0.633



[3]
Density functional theory data (PBE) for BeP4Ir after structural relaxation.

Summary:
total magnetic moment	0.00	μB per formula unit
calculated volume	83.8	Å³ per cell
VASP energy	-28.6	eV for the cell shown
N(E_F)	3.10	states/eV per cell
crystal system	cubic
ΔH_f (0 K)	0.930	eV/atom

a b c (Å): 4.912 4.912 4.912
angles (deg): 60.00 60.00 60.00
Fractional positions:
Be 0.000 0.000 0.000
P 0.372 0.372 0.372
P 0.372 0.372 0.883
P 0.372 0.883 0.372
P 0.883 0.372 0.372
Ir 0.750 0.750 0.750



[4]
Density functional theory data (PBE) for SrZn2Co after structural relaxation.

Summary:
total magnetic moment	0.78	μB per formula unit
calculated volume	172.2	Å³ per cell
VASP energy	-20.7	eV for the cell shown
N(E_F)	8.68	states/eV per cell
crystal system	orthorhombic
ΔH_f (0 K)	0.241	eV/atom

a b c (Å): 4.449 5.508 7.026
angles (deg): 90.00 90.00 90.00
Fractional positions:
Sr 0.000 0.000 0.000
Sr 0.500 0.500 0.500
Zn 0.000 0.000 0.476
Zn 0.000 0.500 0.184
Zn 0.500 0.000 0.684
Zn 0.500 0.500 0.976
Co 0.000 0.500 0.836
Co 0.500 0.000 0.336